{
  "formula": "Al3MoC",
  "functional": "PBE-GGA",
  "state": "optimized geometry",
  "lattice": [[4.835, 0.000, 0.000], [0.000, 4.835, 0.000], [0.000, 0.000, 4.835]],
  "species": ["C", "Al", "Al", "Al", "Mo"],
  "fractional_positions": [[0.500, 0.500, 0.500], [0.000, 0.000, 0.500], [0.500, 0.000, 0.000], [0.000, 0.500, 0.000], [0.000, 0.000, 0.000]],
  "formation_energy_ev_per_atom": 1.92,
  "n_ef_per_ev_cell": 7.08,
  "e_above_lowest_polymorph_mev_per_atom": 1454.8,
  "final_energy_ev_per_atom": -4.337,
  "density_g_cm3": 2.776,
  "sg": "Pm-3m"
}